1.
Density functional theory data (PBE-GGA) for an optimized crystal structure of Pr4NpN4.

Lattice parameters (Å, degrees): 7.110 7.110 7.110 131.57 131.57 70.91
Element x y z (fractional)
Pr  0.000  0.500  0.500
Pr  0.212  0.212  0.000
Pr  0.500  0.000  0.500
Pr  0.788  0.788  0.000
Np  0.500  0.500  0.000
N  0.172  0.572  0.000
N  0.428  0.428  0.600
N  0.572  0.172  0.000
N  0.828  0.828  0.400

**Magnetization**: 1.892 μB/cell
**D(E_F)**: 6.00 states/eV/f.u.
**Raw formation energy**: -0.65 eV/atom

---

2.
Density functional theory data (PBE-GGA) for an optimized crystal structure of Pr2Np3N8.

Lattice parameters (Å, degrees): 6.934 6.934 10.460 90.00 90.00 120.00
Element x y z (fractional)
Pr  0.333  0.667  0.000
Pr  0.333  0.667  0.353
Pr  0.667  0.333  0.500
Pr  0.667  0.333  0.853
Np  0.166  0.332  0.710
Np  0.166  0.834  0.710
Np  0.332  0.166  0.210
Np  0.668  0.834  0.710
Np  0.834  0.166  0.210
Np  0.834  0.668  0.210
N  0.000  0.000  0.299
N  0.000  0.000  0.799
N  0.059  0.530  0.819
N  0.160  0.321  0.131
N  0.160  0.840  0.131
N  0.321  0.160  0.631
N  0.333  0.667  0.604
N  0.470  0.530  0.819
N  0.470  0.941  0.819
N  0.530  0.059  0.319
N  0.530  0.470  0.319
N  0.667  0.333  0.104
N  0.679  0.840  0.131
N  0.840  0.160  0.631
N  0.840  0.679  0.631
N  0.941  0.470  0.319

**Magnetization**: 6.001 μB/cell
**D(E_F)**: 10.94 states/eV/f.u.
**Raw formation energy**: -1.03 eV/atom

---

3.
Density functional theory data (PBE-GGA) for an optimized crystal structure of Pr3NpN4.

Lattice parameters (Å, degrees): 6.278 7.234 6.237 90.00 109.61 90.00
Element x y z (fractional)
Pr  0.000  0.125  0.250
Pr  0.000  0.374  0.750
Pr  0.000  0.626  0.250
Pr  0.000  0.875  0.750
Pr  0.500  0.374  0.250
Pr  0.500  0.626  0.750
Np  0.500  0.125  0.750
Np  0.500  0.875  0.250
N  0.271  0.350  0.527
N  0.271  0.650  0.027
N  0.280  0.110  0.997
N  0.280  0.890  0.497
N  0.720  0.110  0.503
N  0.720  0.890  0.003
N  0.729  0.350  0.973
N  0.729  0.650  0.473

**Magnetization**: 5.454 μB/cell
**Energy relative to the lowest polymorph listed for this composition**: 0.000 eV/atom
**D(E_F)**: 8.09 states/eV/f.u.
**Raw formation energy**: -1.27 eV/atom